Al2PtF: PBEsol geometry, SCAN.

- space-group type = I-42d, No. 122
- E (eV per cell) = -373.56
- uncorrected formation energy (eV per atom) = -1.04
- magnetic moment (μB/cell) = 0.0

abc: 5.252 5.252 10.143
angles: 90.00 90.00 90.00
Atoms (fractional coordinates):
Al 0.216 0.250 0.125
Al 0.250 0.716 0.375
Al 0.250 0.784 0.875
Al 0.284 0.250 0.625
Al 0.716 0.750 0.625
Al 0.750 0.216 0.875
Al 0.750 0.284 0.375
Al 0.784 0.750 0.125
Pt 0.000 0.000 0.500
Pt 0.000 0.500 0.750
Pt 0.500 0.000 0.250
Pt 0.500 0.500 0.000
F 0.000 0.000 0.000
F 0.000 0.500 0.250
F 0.500 0.000 0.750
F 0.500 0.500 0.500



Mn2TlIn: PBEsol geometry, SCAN.

- space-group type = I-4m2, No. 119
- E (eV per cell) = -283.45
- magnetic moment (μB/cell) = 14.1

abc: 3.925 3.925 9.032
angles: 90.00 90.00 90.00
Atoms (fractional coordinates):
Mn 0.000 0.000 0.000
Mn 0.000 0.500 0.250
Mn 0.500 0.000 0.750
Mn 0.500 0.500 0.500
Tl 0.000 0.000 0.500
Tl 0.500 0.500 0.000
In 0.000 0.500 0.750
In 0.500 0.000 0.250



CrIN2O: PBEsol geometry, SCAN.

- space-group type = P4/mmm, No. 123
- E (eV per cell) = -70.39
- uncorrected formation energy (eV per atom) = 1.91
- magnetic moment (μB/cell) = 1.2

abc: 3.984 3.984 4.145
angles: 90.00 90.00 90.00
Atoms (fractional coordinates):
Cr 0.000 0.000 0.000
I 0.500 0.500 0.000
N 0.000 0.500 0.500
N 0.500 0.000 0.500
O 0.500 0.500 0.500



CoIr2Os: PBEsol geometry, SCAN.

- space-group type = Pmm2, No. 25
- E (eV per cell) = -231.08
- magnetic moment (μB/cell) = 1.5

abc: 2.668 3.723 5.300
angles: 90.00 90.00 90.00
Atoms (fractional coordinates):
Co 0.000 0.000 0.000
Ir 0.000 0.000 0.510
Ir 0.500 0.500 0.239
Os 0.500 0.500 0.761